VASP calculation (GGA-PBE) on a relaxed RbBe2FeRh crystal.

abc: 4.513 4.857 4.513
angles: 90.00 90.00 90.00
Each line ends with the local moment (μB).
Sites, in units of the cell vectors:
Rb (0.500, 0.500, 0.500)  0.00
Be (0.500, 0.000, 0.000)  0.00
Be (0.000, 0.000, 0.500)  -0.03
Rh (0.000, 0.000, 0.000)  0.24
Fe (0.000, 0.500, 0.000)  3.25

Summary:
DOS at the Fermi energy = 4.56 states/eV/cell

***

VASP calculation (GGA-PBE) on a relaxed CuAsRu3 crystal.

abc: 4.449 4.449 4.449
angles: 90.00 90.00 90.00
Sites, in units of the cell vectors:
Cu (0.000, 0.000, 0.000)
Ru (0.000, 0.000, 0.500)
Ru (0.500, 0.000, 0.000)
Ru (0.000, 0.500, 0.000)
As (0.500, 0.500, 0.500)

Summary:
energy above the most stable polymorph in this dataset = 481 meV per atom
DOS at the Fermi energy = 6.18 states/eV/cell

***

VASP calculation (GGA-PBE) on a relaxed KSrCo2 crystal.

abc: 3.958 3.958 9.075
angles: 78.05 78.05 59.98
Each line ends with the local moment (μB).
Sites, in units of the cell vectors:
Co (0.038, 0.038, 0.887)  1.30
Co (0.704, 0.704, 0.887)  1.30
K (0.462, 0.462, 0.602)  -0.01
Sr (0.296, 0.296, 0.124)  -0.04

Summary:
energy above the most stable polymorph in this dataset = 0 meV per atom
DOS at the Fermi energy = 2.80 states/eV/cell

***

VASP calculation (GGA-PBE) on a relaxed LiMgNi2C crystal.

abc: 3.779 3.779 4.258
angles: 90.00 90.00 90.00
Each line ends with the local moment (μB).
Sites, in units of the cell vectors:
Ni (0.500, 0.000, 0.000)  0.18
Ni (0.000, 0.500, 0.000)  0.18
Li (0.500, 0.500, 0.500)  0.00
Mg (0.000, 0.000, 0.500)  0.00
C (0.000, 0.000, 0.000)  0.03

Summary:
energy above the most stable polymorph in this dataset = 74 meV per atom
DOS at the Fermi energy = 3.53 states/eV/cell

***

Number 1: size of the total moment 0.70 μB/atom, ΔE_f 0.66 eV per atom, energy -4.186 eV per atom. Number 2: size of the total moment 0.00 μB/atom, ΔE_f 1.60 eV per atom, energy -5.711 eV per atom. Number 3: size of the total moment 0.63 μB/atom, ΔE_f 0.37 eV per atom, energy -3.877 eV per atom. Number 4: size of the total moment 0.08 μB/atom, ΔE_f 0.01 eV per atom, energy -4.847 eV per atom.